# 1
Material: CaTbIrPd
Method: DFT, GGA-PBE
State: optimized geometry

Results
DOS(E_F) = 2.42 states/eV per cell
Calculated volume = 84.6 Å³ per cell
Total magnetization = 0.0 μB/cell
Energy of formation from the pure elements = -672 meV/atom
Polymorph energy (0 for the lowest one) = 0.006 eV per atom

```
CaTbIrPd
1.0
3.425 0.000 0.000
0.000 3.425 0.000
0.000 0.000 7.210
Ir Tb Ca Pd
1 1 1 1
Direct
0.500 0.500 0.124
0.000 0.000 0.348
0.000 0.000 0.864
0.500 0.500 0.592
```

# 2
Material: CaTcIrPd2
Method: DFT, GGA-PBE
State: optimized geometry

Results
DOS(E_F) = 6.26 states/eV per cell
Calculated volume = 121.9 Å³ per cell
Total magnetization = 5.0 μB/cell
Energy of formation from the pure elements = 1245 meV/atom

```
CaTcIrPd2
1.0
4.915 0.000 0.000
0.000 5.047 0.000
0.000 0.000 4.915
Tc Ca Pd Ir
1 1 2 1
Direct
0.500 0.500 0.500
0.000 0.500 0.000
0.500 0.000 0.000
0.000 0.000 0.500
0.000 0.000 0.000
```

# 3
Material: CaThIrPd
Method: DFT, GGA-PBE
State: optimized geometry

Results
DOS(E_F) = 2.48 states/eV per cell
Calculated volume = 93.5 Å³ per cell
Total magnetization = 0.0 μB/cell
Energy of formation from the pure elements = -779 meV/atom
Polymorph energy (0 for the lowest one) = 0.000 eV per atom

```
CaThIrPd
1.0
3.946 0.000 0.000
0.000 4.194 0.000
-1.973 0.000 5.650
Pd Ca Th Ir
1 1 1 1
Direct
0.583 0.500 0.167
0.142 0.000 0.284
0.865 0.500 0.730
0.409 0.000 0.818
```

What did the third record say?
Material: CaThIrPd
Method: DFT, GGA-PBE
State: optimized geometry

Results
DOS(E_F) = 2.48 states/eV per cell
Calculated volume = 93.5 Å³ per cell
Total magnetization = 0.0 μB/cell
Energy of formation from the pure elements = -779 meV/atom
Polymorph energy (0 for the lowest one) = 0.000 eV per atom

```
CaThIrPd
1.0
3.946 0.000 0.000
0.000 4.194 0.000
-1.973 0.000 5.650
Pd Ca Th Ir
1 1 1 1
Direct
0.583 0.500 0.167
0.142 0.000 0.284
0.865 0.500 0.730
0.409 0.000 0.818
```